1.
First-principles (PBE) data for crystalline IrPdN2 at its relaxed geometry, as listed in the Alexandria database.

Properties
Distance to the lowest polymorph of the same formula = 0 meV per atom
Uncorrected formation energy = 0.675 eV/atom
Size of the total moment = 0.0 μB per cell

Cell lengths 3.0672, 3.0672, 18.2848 Å; angles 90.00, 90.00, 120.00 degrees
Space group R-3m (No. 166, hexagonal axes)
Inequivalent atoms, fractional coordinates:
Ir: 0.0000 0.0000 0.0000 [3 per cell]
Pd: 0.0000 0.0000 0.5000 [3 per cell]
N: 0.0000 0.0000 0.3904 [6 per cell]

=====

2.
First-principles (PBE) data for crystalline HoCu3Ni8 at its relaxed geometry, as listed in the Alexandria database.

Properties
Energy of formation from the pure elements = -51.5 meV/atom
Size of the total moment = 3.1 μB per cell

Cell lengths 4.7569, 4.7569, 7.7420 Å; angles 90.00, 90.00, 120.00 degrees
Space group P3m1 (No. 156)
Inequivalent atoms, fractional coordinates:
Ho: 0.0000 0.0000 0.0000 [1 per cell]
Cu: 0.0000 0.0000 0.3887 [1 per cell]
Cu: 0.6667 0.3333 0.4957 [1 per cell]
Cu: 0.6667 0.3333 0.8380 [1 per cell]
Ni: 0.1644 0.3289 0.6768 [3 per cell]
Ni: 0.3333 0.6667 0.4327 [1 per cell]
Ni: 0.3333 0.6667 0.9319 [1 per cell]
Ni: 0.5037 0.0075 0.1942 [3 per cell]

=====

3.
First-principles (PBE) data for crystalline TiGaCu at its relaxed geometry, as listed in the Alexandria database.

Properties
Energy of formation from the pure elements = -205.2 meV/atom
Size of the total moment = 0.0 μB per cell

Cell lengths 4.2891, 4.2891, 5.4957 Å; angles 90.00, 90.00, 120.00 degrees
Space group P6/mmm (No. 191)
Inequivalent atoms, fractional coordinates:
Ti: 0.0000 0.0000 0.2364 [2 per cell]
Ga: 0.3333 0.6667 0.5000 [2 per cell]
Cu: 0.3333 0.6667 0.0000 [2 per cell]

=====

4.
First-principles (PBE) data for crystalline PaGa2As at its relaxed geometry, as listed in the Alexandria database.

Properties
Distance to the lowest polymorph of the same formula = 0 meV per atom
Energy of formation from the pure elements = -556.9 meV/atom
Size of the total moment = 0.0 μB per cell

Cell lengths 4.1466, 4.1466, 4.5775 Å; angles 90.00, 90.00, 90.00 degrees
Space group P4/mmm (No. 123)
Inequivalent atoms, fractional coordinates:
Pa: 0.0000 0.0000 0.0000 [1 per cell]
Ga: 0.0000 0.5000 0.5000 [2 per cell]
As: 0.5000 0.5000 0.0000 [1 per cell]